[1]
Tl2In6Hg3: optimized geometry, PBE.

abc: 3.7602 3.7602 75.2134
angles: 90.00 90.00 120.00
Space group R-3m (No. 166, hexagonal axes)
Unique sites:
Tl  0.0000  0.0000  0.0475 [6 per cell]
In  0.0000  0.0000  0.1377 [6 per cell]
In  0.0000  0.0000  0.3181 [6 per cell]
In  0.0000  0.0000  0.4133 [6 per cell]
Hg  0.0000  0.0000  0.2247 [6 per cell]
Hg  0.0000  0.0000  0.5000 [3 per cell]

Results
The total magnetization is 0.00 μB/f.u. The relative energy among the computed polymorphs comes out at 4.1 meV per atom. For the formation energy, the calculation gives 0.024 eV/atom. The total DFT energy (no corrections) is -0.0728 Ha/atom. The calculation puts the density of states at the Fermi level at 4.38 states/eV/f.u.

[2]
Tl2InHg: optimized geometry, PBE.

abc: 3.431 5.815 5.832
angles: 90.00 90.00 90.00
Space group Pmmm (No. 47)
Unique sites:
Tl  0.000  0.000  0.000 [1 per cell]
Tl  0.500  0.000  0.500 [1 per cell]
In  0.000  0.500  0.500 [1 per cell]
Hg  0.500  0.500  0.000 [1 per cell]

Results
The total magnetization is 0.00 μB/f.u. The relative energy among the computed polymorphs comes out at 21.1 meV per atom. For the formation energy, the calculation gives 0.022 eV/atom. The total DFT energy (no corrections) is -0.0706 Ha/atom. The calculation puts the density of states at the Fermi level at 1.27 states/eV/f.u.

[3]
Tl2In6Hg: optimized geometry, PBE.

abc: 9.4387 9.4387 3.2873
angles: 90.00 90.00 120.00
Space group P-31m (No. 162)
Unique sites:
Tl  0.3333  0.6667  0.0000 [2 per cell]
In  0.0000  0.3305  0.6539 [6 per cell]
Hg  0.0000  0.0000  0.5000 [1 per cell]

Results
The total magnetization is 0.00 μB/f.u. For the formation energy, the calculation gives 0.029 eV/atom. The total DFT energy (no corrections) is -0.0866 Ha/atom. The calculation puts the density of states at the Fermi level at 3.32 states/eV/f.u.

[4]
Tl3InHg4: optimized geometry, PBE.

abc: 3.689 3.689 16.662
angles: 90.00 90.00 90.00
Space group P4/mmm (No. 123)
Unique sites:
Tl  0.000  0.000  0.000 [1 per cell]
Tl  0.000  0.000  0.256 [2 per cell]
In  0.000  0.000  0.500 [1 per cell]
Hg  0.500  0.500  0.127 [2 per cell]
Hg  0.500  0.500  0.383 [2 per cell]

Results
The total magnetization is 0.00 μB/f.u. The relative energy among the computed polymorphs comes out at 0.0 meV per atom. For the formation energy, the calculation gives -0.009 eV/atom. The total DFT energy (no corrections) is -0.0511 Ha/atom. The calculation puts the density of states at the Fermi level at 2.84 states/eV/f.u.

[5]
Tl5InHg8: optimized geometry, PBE.

abc: 9.407 9.407 9.346
angles: 90.00 90.00 90.00
Space group I-4 (No. 82)
Unique sites:
Tl  0.000  0.000  0.000 [2 per cell]
Tl  0.115  0.230  0.372 [8 per cell]
In  0.000  0.500  0.750 [2 per cell]
Hg  0.064  0.334  0.047 [8 per cell]
Hg  0.090  0.189  0.710 [8 per cell]

Results
The total magnetization is 0.00 μB/f.u. For the formation energy, the calculation gives 0.004 eV/atom. The total DFT energy (no corrections) is -0.0444 Ha/atom. The calculation puts the density of states at the Fermi level at 4.26 states/eV/f.u.

[6]
Tl3In8Hg2: optimized geometry, PBE.

abc: 9.676 25.420 3.334
angles: 90.00 90.00 90.00
Space group Cmmm (No. 65)
Unique sites:
Tl  0.000  0.000  0.000 [2 per cell]
Tl  0.164  0.500  0.500 [4 per cell]
In  0.000  0.130  0.500 [4 per cell]
In  0.000  0.334  0.500 [4 per cell]
In  0.231  0.393  0.000 [8 per cell]
Hg  0.000  0.232  0.000 [4 per cell]

Results
The total magnetization is 0.00 μB/f.u. For the formation energy, the calculation gives 0.082 eV/atom. The total DFT energy (no corrections) is -0.0807 Ha/atom. The calculation puts the density of states at the Fermi level at 6.77 states/eV/f.u.